Below is a crystal of Mn2AgSb relaxed with PBEsol, with properties calculated at the SCAN level. Values from VASP.

## Properties
**Crystal system**: tetragonal
**ΔE_f (raw)**: 0.06 eV/atom

Geometry as Quantum ESPRESSO input:
```
&SYSTEM
  ibrav = 0, nat = 4, ntyp = 3
/
ATOMIC_SPECIES
Mn 54.94 Mn.upf
Sb 121.76 Sb.upf
Ag 107.87 Ag.upf
ATOMIC_POSITIONS angstrom
Mn 0.0000 0.0000 0.2648
Mn 1.5075 1.5075 1.4812
Sb 0.0000 0.0000 3.4098
Ag 1.5075 1.5075 5.8285
CELL_PARAMETERS angstrom
3.0150 0.0000 0.0000
0.0000 3.0150 0.0000
0.0000 0.0000 7.3228
```

=====

Below is a crystal of ScPt2Cl relaxed with PBEsol, with properties calculated at the SCAN level. Values from VASP.

## Properties
**Crystal system**: monoclinic
**ΔE_f (raw)**: -0.85 eV/atom

Geometry as Quantum ESPRESSO input:
```
&SYSTEM
  ibrav = 0, nat = 4, ntyp = 3
/
ATOMIC_SPECIES
Pt 195.08 Pt.upf
Cl 35.45 Cl.upf
Sc 44.96 Sc.upf
ATOMIC_POSITIONS angstrom
Pt -5.7821 1.2799 0.6402
Pt -6.1682 1.7815 3.1668
Cl -3.4120 -1.6007 1.7177
Sc -4.1340 0.4396 2.9105
CELL_PARAMETERS angstrom
-1.6184 -2.0742 -1.9855
-0.9636 -2.0122 2.8876
-5.9949 4.0045 0.7032
```

=====

no.,calculated density (g cm⁻³),total DFT energy (no corrections) (eV per atom),DOS at the Fermi energy (states/eV per cell)
1,8.47,-26.23,1.8
2,8.97,-41.50,1.8